(1)
Computed, not measured: crystalline RbNaPaF6 at its relaxed geometry at the PBE level of DFT.

Structure (POSCAR):
```
RbNaPaF6
1.0
6.182 0.000 0.000
-3.091 5.354 0.000
0.000 0.000 11.673
Na F Rb Pa
2 12 2 2
Cartesian
0.000 3.569 2.918
3.091 1.785 8.755
3.894 0.103 4.108
-1.055 2.033 7.565
1.055 2.033 9.945
4.146 3.321 4.108
-1.858 3.423 9.945
0.803 5.251 9.945
4.949 1.930 1.728
2.036 3.321 1.728
1.233 1.930 4.108
2.288 0.103 1.728
-0.803 5.251 7.565
1.858 3.423 7.565
0.000 0.000 5.837
0.000 0.000 0.000
3.091 1.785 2.918
0.000 3.569 8.755
```

## Properties
Formation energy without anion corrections in eV per atom: -3.404
Electronic total energy in eV per atom: -5.9607
Calculated volume in Å³/cell: 386.3
Space-group type: P-31c


(2)
Computed, not measured: crystalline Rb2Na3PaF12 at its relaxed geometry at the PBE level of DFT.

Structure (POSCAR):
```
Rb2Na3PaF12
1.0
8.414 0.298 0.212
4.415 7.169 0.212
4.415 2.570 6.696
F Rb Na Pa
12 2 3 1
Cartesian
6.437 0.909 0.645
10.224 3.530 2.504
10.805 9.128 6.474
8.119 4.726 5.918
3.969 5.149 0.645
13.273 7.726 2.473
3.969 2.310 4.646
9.124 5.311 1.201
9.124 2.890 4.615
13.273 4.888 6.474
7.018 6.507 4.615
8.119 7.147 2.504
7.238 4.213 2.988
10.005 5.824 4.131
2.207 3.584 0.106
4.207 0.149 0.106
2.207 1.285 3.348
0.000 0.000 0.000
```

## Properties
Formation energy without anion corrections in eV per atom: -2.738
Electronic total energy in eV per atom: -4.8402
Calculated volume in Å³/cell: 386.5
Space-group type: R-3m


(3)
Computed, not measured: crystalline Na3PaTl2F12 at its relaxed geometry at the PBE level of DFT.

Structure (POSCAR):
```
Na3PaTl2F12
1.0
8.518 0.626 0.444
4.751 7.097 0.444
4.751 2.765 6.551
Tl Pa F Na
2 1 12 3
Cartesian
10.391 6.049 4.290
7.628 4.440 3.149
0.000 0.000 0.000
6.501 1.124 0.797
8.872 5.164 1.412
4.188 2.438 4.547
8.872 3.040 4.407
11.519 9.365 6.643
13.832 5.391 6.643
13.832 8.051 2.892
9.148 5.325 6.027
7.025 6.213 4.407
4.188 5.098 0.797
10.995 4.276 3.033
9.148 7.449 3.033
2.375 1.383 3.276
2.375 3.549 0.222
4.259 0.313 0.222
```

## Properties
Formation energy without anion corrections in eV per atom: -2.621
Electronic total energy in eV per atom: -4.8792
Calculated volume in Å³/cell: 358.3
Space-group type: R-3m


(4)
Computed, not measured: crystalline NaPaTlF6 at its relaxed geometry at the PBE level of DFT.

Structure (POSCAR):
```
NaPaTlF6
1.0
6.233 0.000 0.000
-3.117 5.398 0.000
0.000 0.000 11.233
F Pa Na Tl
12 2 2 2
Cartesian
2.051 3.343 1.636
0.804 5.293 9.597
-1.869 3.448 9.597
3.920 0.105 3.980
4.986 1.950 1.636
-0.804 5.293 7.253
1.065 2.055 9.597
4.182 3.343 3.980
1.247 1.950 3.980
1.869 3.448 7.253
2.313 0.105 1.636
-1.065 2.055 7.253
3.117 1.799 2.808
0.000 3.599 8.425
0.000 3.599 2.808
3.117 1.799 8.425
0.000 0.000 5.616
0.000 0.000 0.000
```

## Properties
Formation energy without anion corrections in eV per atom: -3.162
Electronic total energy in eV per atom: -5.8740
Calculated volume in Å³/cell: 377.9
Space-group type: P-31c


(5)
Computed, not measured: crystalline Na4PbF6 at its relaxed geometry at the PBE level of DFT.

Structure (POSCAR):
```
Na4PbF6
1.0
3.420 0.000 0.000
-1.710 5.519 0.000
0.000 0.000 16.653
F Na Pb
12 8 2
Cartesian
0.000 3.499 4.163
0.000 2.540 9.771
1.710 2.980 1.444
0.000 0.522 5.625
1.710 0.000 0.000
1.710 4.997 11.028
1.710 0.000 8.327
1.710 2.980 6.882
0.000 0.522 2.701
0.000 2.540 15.209
1.710 4.997 13.952
1.710 2.021 12.490
1.710 1.055 14.554
0.000 4.465 6.228
1.710 4.000 9.002
0.000 4.465 2.099
0.000 1.519 7.651
1.710 4.000 15.978
1.710 1.055 10.426
0.000 1.519 0.676
0.000 3.771 12.490
1.710 1.749 4.163
```

## Properties
Formation energy without anion corrections in eV per atom: -2.612
Electronic total energy in eV per atom: -4.4496
Calculated volume in Å³/cell: 314.4
Space-group type: Cmcm


(6)
Computed, not measured: crystalline Na2PbF at its relaxed geometry at the PBE level of DFT.

Structure (POSCAR):
```
Na2PbF
1.0
-1.488 1.452 2.763
-2.690 -1.546 1.527
3.763 -4.131 6.363
Na Pb F
2 1 1
Cartesian
0.138 -3.526 8.419
-0.553 -0.699 2.233
-0.207 -2.112 5.326
0.000 0.000 0.000
```

## Properties
Formation energy without anion corrections in eV per atom: -1.346
Offset from the most stable computed form in meV/atom: 0
Electronic total energy in eV per atom: -3.4005
Calculated volume in Å³/cell: 85.2
Space-group type: R-3m


(7)
Computed, not measured: crystalline NaPbF2 at its relaxed geometry at the PBE level of DFT.

Structure (POSCAR):
```
NaPbF2
1.0
-5.432 -1.412 1.466
1.524 -5.591 0.259
-0.802 -2.966 5.648
F Pb Na
4 2 2
Cartesian
-0.238 -4.493 1.841
-1.980 -5.171 4.898
-3.095 -2.242 2.277
-4.109 -8.033 5.730
-4.094 -3.940 3.988
0.000 0.000 0.000
-1.954 -3.502 0.862
-0.616 -6.030 3.385
```

## Properties
Formation energy without anion corrections in eV per atom: -1.897
Offset from the most stable computed form in meV/atom: 253
Electronic total energy in eV per atom: -4.0895
Calculated volume in Å³/cell: 166.6
Space-group type: I-42d


(8)
Computed, not measured: crystalline Na2Pb2F7 at its relaxed geometry at the PBE level of DFT.

Structure (POSCAR):
```
Na2Pb2F7
1.0
-2.955 4.757 -0.079
-2.227 -1.464 -4.825
-3.988 -2.852 2.706
F Pb Na
7 2 2
Cartesian
-3.628 -2.500 -2.185
-5.543 2.940 -0.013
0.000 0.000 0.000
-4.064 0.562 0.029
-2.072 1.988 -1.326
-5.106 -0.122 -2.228
-7.098 -1.548 -0.872
-6.339 0.701 -0.436
-2.832 -0.261 -1.763
-3.232 2.717 0.668
-5.938 -2.276 -2.866
```

## Properties
Formation energy without anion corrections in eV per atom: -2.322
Electronic total energy in eV per atom: -4.4266
Calculated volume in Å³/cell: 172.5
Space-group type: Cmmm